{"formula": "CrCdCuF6", "functional": "PBE with a Hubbard U", "state": "optimized geometry", "e_tot_ev_per_atom": -4.745, "cell": [[-0.2394, 5.4460, -1.1811], [-3.0330, -3.6305, -2.9550], [-6.7783, 0.9561, 5.7825]], "species": ["Cr", "Cr", "Cd", "Cd", "Cu", "Cu", "F", "F", "F", "F", "F", "F", "F", "F", "F", "F", "F", "F"], "fractional_positions": [[0.6667, 0.3333, 0.2500], [0.3333, 0.6667, 0.7500], [0.3333, 0.6667, 0.2500], [0.6667, 0.3333, 0.7500], [0.0000, 0.0000, 0.0000], [0.0000, 0.0000, 0.5000], [0.6752, 0.6346, 0.1294], [0.9594, 0.3248, 0.1294], [0.3248, 0.9594, 0.6294], [0.0406, 0.6752, 0.8706], [0.3654, 0.3248, 0.3706], [0.9594, 0.6346, 0.3706], [0.6346, 0.9594, 0.8706], [0.6752, 0.0406, 0.3706], [0.0406, 0.3654, 0.6294], [0.3654, 0.0406, 0.1294], [0.6346, 0.6752, 0.6294], [0.3248, 0.3654, 0.8706]]}